DFT (PBE-GGA) results for a relaxed structure of NbGeOF2.

Structure (POSCAR):
```
NbGeOF2
1.0
4.3504 0.0000 0.0000
0.0000 4.3504 0.0000
0.0000 0.0000 3.9873
Nb Ge O F
1 1 1 2
Cartesian
0.0000 0.0000 0.0000 Nb
2.1752 2.1752 1.9937 Ge
0.0000 0.0000 1.9937 O
0.0000 2.1752 0.0000 F
2.1752 0.0000 0.0000 F
```

Results
Formation energy (no corrections) (eV/f.u.): -7.346
Offset from the most stable computed form (meV/atom): 0
Mass density (g/cm3): 4.83
Raw total energy (eV/atom): -6.15
Magnetization (μB/atom): 0.31